1) # SrGeBi2Mo

Crystalline SrGeBi2Mo at its relaxed geometry (PBE, Alexandria).

abc: 5.719 4.860 5.719
angles: 90.00 90.00 90.00
Site moments in Bohr magnetons follow the coordinates.
Fractional coordinates of all 5 atoms:
Sr1 0.500 0.500 0.500  0.01
Mo1 0.000 0.500 0.000  2.33
Ge1 0.000 0.000 0.000  -0.06
Bi1 0.000 0.000 0.500  -0.09
Bi2 0.500 0.000 0.000  -0.09

Summary:
The total magnetization is 2.75 μB per formula unit. The value obtained for the density of states at the Fermi level is 3.4 states/eV/f.u.

---

2) # SrGeBi2Mo

Crystalline SrGeBi2Mo at its relaxed geometry (PBE, Alexandria).

abc: 6.003 5.559 6.003
angles: 90.00 90.00 90.00
Site moments in Bohr magnetons follow the coordinates.
Fractional coordinates of all 5 atoms:
Sr1 0.000 0.000 0.000  0.06
Mo1 0.000 0.500 0.000  3.41
Ge1 0.500 0.500 0.500  -0.06
Bi1 0.000 0.000 0.500  -0.21
Bi2 0.500 0.000 0.000  -0.09

Summary:
The total magnetization is 3.79 μB per formula unit. The value obtained for the density of states at the Fermi level is 4.4 states/eV/f.u.

---

It is 1) that is most stable; the runner-up trails by 1.296 eV/atom.

---

1) # Ge2BiN

Crystalline Ge2BiN at its relaxed geometry (PBE, Alexandria).

abc: 6.517 6.517 5.940
angles: 56.73 56.73 90.00
Fractional coordinates of all 8 atoms:
Ge1 0.512 0.125 0.250
Ge2 0.238 0.625 0.250
Ge3 0.375 0.488 0.750
Ge4 0.875 0.762 0.750
Bi1 0.000 0.000 0.000
Bi2 0.750 0.250 0.500
N1 0.500 0.500 0.000
N2 0.250 0.750 0.500

Summary:
The total magnetization is 0.00 μB per formula unit. The value obtained for the density of states at the Fermi level is 1.6 states/eV/f.u.

---

2) # Ge2BiN

Crystalline Ge2BiN at its relaxed geometry (PBE, Alexandria).

abc: 4.816 4.816 4.816
angles: 60.00 60.00 60.00
Site moments in Bohr magnetons follow the coordinates.
Fractional coordinates of all 4 atoms:
Ge1 0.250 0.250 0.250  -0.01
Ge2 0.750 0.750 0.750  -0.01
Bi1 0.500 0.500 0.500  0.09
N1 0.000 0.000 0.000  0.81

Summary:
The total magnetization is 1.18 μB per formula unit. The value obtained for the density of states at the Fermi level is 2.3 states/eV/f.u.

---

It is 1) that is most stable; the runner-up trails by 0.778 eV/atom.

---

1) # Ge3BiN

Crystalline Ge3BiN at its relaxed geometry (PBE, Alexandria).

abc: 4.593 4.593 4.593
angles: 90.00 90.00 90.00
Fractional coordinates of all 5 atoms:
Ge1 0.000 0.500 0.000
Ge2 0.000 0.000 0.500
Ge3 0.500 0.000 0.000
Bi1 0.500 0.500 0.500
N1 0.000 0.000 0.000

Summary:
The total magnetization is 0.00 μB per formula unit. The value obtained for the density of states at the Fermi level is 1.7 states/eV/f.u.

---

2) # Ge3BiN

Crystalline Ge3BiN at its relaxed geometry (PBE, Alexandria).

abc: 5.517 5.517 5.517
angles: 90.00 90.00 90.00
Fractional coordinates of all 5 atoms:
Ge1 0.000 0.500 0.000
Ge2 0.000 0.000 0.500
Ge3 0.500 0.000 0.000
Bi1 0.000 0.000 0.000
N1 0.500 0.500 0.500

Summary:
The total magnetization is 0.00 μB per formula unit. The value obtained for the density of states at the Fermi level is 3.5 states/eV/f.u.

---

It is 1) that is most stable; the runner-up trails by 1.639 eV/atom.

---

1) # GeBiSN2

Crystalline GeBiSN2 at its relaxed geometry (PBE, Alexandria).

abc: 3.933 3.933 4.869
angles: 90.00 90.00 90.00
Site moments in Bohr magnetons follow the coordinates.
Fractional coordinates of all 5 atoms:
S1 0.000 0.000 0.500  0.00
Ge1 0.000 0.000 0.000  -0.02
Bi1 0.500 0.500 0.500  -0.05
N1 0.000 0.500 0.000  0.23
N2 0.500 0.000 0.000  0.23

Summary:
The total magnetization is 0.55 μB per formula unit. The value obtained for the density of states at the Fermi level is 0.4 states/eV/f.u.

---

2) # GeBiSN2

Crystalline GeBiSN2 at its relaxed geometry (PBE, Alexandria).

abc: 4.284 4.284 5.476
angles: 90.00 90.00 90.00
Site moments in Bohr magnetons follow the coordinates.
Fractional coordinates of all 5 atoms:
S1 0.000 0.000 0.500  0.04
Ge1 0.500 0.500 0.500  -0.05
Bi1 0.000 0.000 0.000  -0.03
N1 0.000 0.500 0.000  0.55
N2 0.500 0.000 0.000  0.55

Summary:
The total magnetization is 1.49 μB per formula unit. The value obtained for the density of states at the Fermi level is 2.7 states/eV/f.u.

---

It is 1) that is most stable; the runner-up trails by 0.616 eV/atom.

---

1) # GeBiSeN2

Crystalline GeBiSeN2 at its relaxed geometry (PBE, Alexandria).

abc: 4.011 4.011 5.114
angles: 90.00 90.00 90.00
Site moments in Bohr magnetons follow the coordinates.
Fractional coordinates of all 5 atoms:
Ge1 0.000 0.000 0.000  -0.02
Bi1 0.500 0.500 0.500  -0.06
Se1 0.000 0.000 0.500  0.00
N1 0.000 0.500 0.000  0.26
N2 0.500 0.000 0.000  0.26

Summary:
The total magnetization is 0.62 μB per formula unit. The value obtained for the density of states at the Fermi level is 0.6 states/eV/f.u.

---

2) # GeBiSeN2

Crystalline GeBiSeN2 at its relaxed geometry (PBE, Alexandria).

abc: 4.301 4.301 5.832
angles: 90.00 90.00 90.00
Site moments in Bohr magnetons follow the coordinates.
Fractional coordinates of all 5 atoms:
Ge1 0.500 0.500 0.500  -0.05
Bi1 0.000 0.000 0.000  -0.05
Se1 0.000 0.000 0.500  0.03
N1 0.000 0.500 0.000  0.56
N2 0.500 0.000 0.000  0.56

Summary:
The total magnetization is 1.51 μB per formula unit. The value obtained for the density of states at the Fermi level is 3.0 states/eV/f.u.

---

It is 1) that is most stable; the runner-up trails by 0.462 eV/atom.

---

1) # Na2GeBi

Crystalline Na2GeBi at its relaxed geometry (PBE, Alexandria).

abc: 5.235 5.235 5.235
angles: 60.00 60.00 60.00
Fractional coordinates of all 4 atoms:
Na1 0.250 0.250 0.250
Na2 0.750 0.750 0.750
Ge1 0.000 0.000 0.000
Bi1 0.500 0.500 0.500

Summary:
The total magnetization is 0.00 μB per formula unit. The value obtained for the density of states at the Fermi level is 2.4 states/eV/f.u.

---

2) # Na2GeBi

Crystalline Na2GeBi at its relaxed geometry (PBE, Alexandria).

abc: 7.364 12.387 6.568
angles: 126.53 90.00 90.00
Fractional coordinates of all 16 atoms:
Na1 0.797 0.125 0.173
Na2 0.297 0.375 0.827
Na3 0.203 0.875 0.827
Na4 0.703 0.625 0.173
Na5 0.742 0.742 0.806
Na6 0.242 0.758 0.194
Na7 0.258 0.258 0.194
Na8 0.758 0.242 0.806
Ge1 0.606 0.428 0.335
Ge2 0.106 0.072 0.665
Ge3 0.394 0.572 0.665
Ge4 0.894 0.928 0.335
Bi1 0.408 0.061 0.381
Bi2 0.908 0.439 0.619
Bi3 0.592 0.939 0.619
Bi4 0.092 0.561 0.381

Summary:
The total magnetization is 0.00 μB per formula unit. The value obtained for the density of states at the Fermi level is 0.3 states/eV/f.u.

---

It is 2) that is most stable; the runner-up trails by 0.057 eV/atom.